The following is a DFT calculation (PBE-GGA) of HgRu2Br after structural relaxation.

Results
Relative energy among the computed polymorphs = 542 meV/atom
Space-group type = Cmmm (65)
Raw formation energy = 0.9150 eV/atom
Magnetic moment = 0.00 μB/f.u.
Electronic total energy = -4.22 eV per atom

Lattice parameters (Å, degrees): 3.043 3.043 9.047 90.00 90.00 122.28
Sites, in units of the cell vectors:
Ru 0.000 0.000 0.486
Ru 0.000 0.000 0.014
Br 0.500 0.500 0.250
Hg 0.500 0.500 0.750